DFT (PBE) results for a geometry-optimized ErCuTe2 structure.

For the uncorrected formation energy, the calculation gives -797 meV/atom. The calculation puts the volume at 25.80 Å³/atom.

It has space group P-3m1 (No. 164), with a = 4.2216 Å, b = 4.2216 Å, c = 6.6853 Å, α = 90.00°, β = 90.00° and γ = 120.00°. The inequivalent atoms are Er at (0.0000, 0.0000, 0.0000), Cu at (0.0000, 0.0000, 0.5000) and Te at (0.3333, 0.6667, 0.2757).